(1)
{"formula": "CsRbCu4Cl6", "functional": "PBE-GGA", "state": "optimized geometry", "cell": [[7.420, 0.000, 0.000], [-3.710, 6.426, 0.000], [0.000, 0.000, 8.432]], "species": ["Cl", "Cl", "Cl", "Cl", "Cl", "Cu", "Rb", "Cu", "Cu", "Cs", "Cl", "Cu"], "fractional_positions": [[0.500, 0.000, 0.768], [0.500, 0.500, 0.232], [0.500, 0.000, 0.232], [0.500, 0.500, 0.768], [0.000, 0.500, 0.768], [0.333, 0.667, 0.157], [0.000, 0.000, 0.500], [0.667, 0.333, 0.157], [0.667, 0.333, 0.843], [0.000, 0.000, 0.000], [0.000, 0.500, 0.232], [0.333, 0.667, 0.843]], "e_form_raw_ev_per_atom": -0.79, "magnetic_moment_mub_per_cell": 0.0}



(2)
{"formula": "LiNd4S5", "functional": "PBE-GGA", "state": "optimized geometry", "cell": [[-3.474, -2.484, 3.781], [-5.257, -3.585, -2.883], [1.895, -6.483, 1.784]], "species": ["Li", "Nd", "Nd", "S", "Nd", "Nd", "S", "S", "S", "S"], "fractional_positions": [[0.017, 0.000, 0.000], [0.799, 0.802, 0.600], [0.399, 0.400, 0.802], [0.709, 0.195, 0.386], [0.201, 0.198, 0.400], [0.601, 0.600, 0.198], [0.495, 0.000, 0.000], [0.904, 0.386, 0.805], [0.095, 0.614, 0.195], [0.290, 0.805, 0.614]], "e_form_raw_ev_per_atom": -1.94, "magnetic_moment_mub_per_cell": 0.0}



(3)
{"formula": "Sr2YHfSb", "functional": "PBE-GGA", "state": "optimized geometry", "cell": [[-0.542, -0.147, -6.033], [4.834, -2.030, -0.385], [-2.319, -5.588, 0.345]], "species": ["Sr", "Y", "Sr", "Hf", "Sb"], "fractional_positions": [[0.500, 0.000, 0.000], [0.000, 0.000, 0.000], [0.000, 0.000, 0.500], [0.000, 0.500, 0.000], [0.500, 0.500, 0.500]], "e_form_raw_ev_per_atom": 0.97, "magnetic_moment_mub_per_cell": 0.0}



(4)
{"formula": "LiVSbW2", "functional": "PBE-GGA", "state": "optimized geometry", "cell": [[4.379, 0.000, 0.000], [0.000, 4.379, 0.000], [0.000, 0.000, 4.112]], "species": ["V", "Sb", "W", "Li", "W"], "fractional_positions": [[0.000, 0.000, 0.500], [0.500, 0.500, 0.500], [0.000, 0.500, 0.000], [0.000, 0.000, 0.000], [0.500, 0.000, 0.000]], "e_form_raw_ev_per_atom": 1.30, "magnetic_moment_mub_per_cell": 0.0}



(5)
{"formula": "AcLaCoPd", "functional": "PBE-GGA", "state": "optimized geometry", "cell": [[5.174, 0.000, 0.000], [2.587, 4.481, 0.000], [2.587, 1.494, 4.225]], "species": ["Ac", "Pd", "La", "Co"], "fractional_positions": [[0.250, 0.250, 0.250], [0.000, 0.000, 0.000], [0.750, 0.750, 0.750], [0.500, 0.500, 0.500]], "magnetic_moment_mub_per_cell": 0.2, "formation_enthalpy_0k_ev_per_atom": -0.287}



(6)
{"formula": "MgZnBi2S", "functional": "PBE-GGA", "state": "optimized geometry", "cell": [[-2.229, -0.963, 4.949], [1.191, -4.716, -0.382], [4.859, 1.034, 2.390]], "species": ["S", "Bi", "Bi", "Zn", "Mg"], "fractional_positions": [[0.500, 0.500, 0.500], [0.000, 0.000, 0.500], [0.500, 0.000, 0.000], [0.000, 0.500, 0.000], [0.000, 0.000, 0.000]], "e_form_raw_ev_per_atom": 0.65, "magnetic_moment_mub_per_cell": 0.0}



(7)
{"formula": "TeMoCl2", "functional": "PBE-GGA", "state": "optimized geometry", "cell": [[5.655, 0.014, 0.002], [-2.188, 5.215, 0.002], [1.724, 2.601, 3.162]], "species": ["Cl", "Cl", "Te", "Mo"], "fractional_positions": [[0.500, 0.500, 0.000], [0.000, 0.000, 0.000], [0.000, 0.500, 0.500], [0.500, 0.000, 0.500]], "e_form_raw_ev_per_atom": 0.35, "magnetic_moment_mub_per_cell": 3.5}



(8)
{"formula": "HoErTm2Rh4", "functional": "PBE-GGA", "state": "optimized geometry", "cell": [[4.793, 0.000, 0.000], [2.397, 4.151, 0.000], [2.397, 1.384, 7.830]], "species": ["Rh", "Rh", "Rh", "Rh", "Tm", "Er", "Ho", "Tm"], "fractional_positions": [[0.125, 0.125, 0.624], [0.875, 0.875, 0.376], [0.625, 0.625, 0.126], [0.375, 0.375, 0.874], [0.750, 0.750, 0.749], [0.500, 0.500, 0.500], [0.000, 0.000, 0.000], [0.250, 0.250, 0.251]], "magnetic_moment_mub_per_cell": 0.0, "formation_enthalpy_0k_ev_per_atom": -0.952}



(9)
{"formula": "Ac2Zn4Ga3Ir", "functional": "PBE-GGA", "state": "optimized geometry", "cell": [[-1.083, -3.709, 2.229], [2.653, 1.246, 3.363], [-8.000, 5.012, 4.453]], "species": ["Ac", "Ga", "Zn", "Zn", "Zn", "Ga", "Zn", "Ac", "Ir", "Ga"], "fractional_positions": [[0.500, 0.000, 0.260], [0.500, 0.000, 0.869], [0.500, 0.500, 0.000], [0.000, 0.000, 0.000], [0.000, 0.500, 0.376], [0.000, 0.500, 0.131], [0.500, 0.000, 0.624], [0.000, 0.500, 0.740], [0.500, 0.500, 0.500], [0.000, 0.000, 0.500]], "magnetic_moment_mub_per_cell": 0.0, "formation_enthalpy_0k_ev_per_atom": -0.415}



(10)
{"formula": "Th2AgH", "functional": "PBE-GGA", "state": "optimized geometry", "cell": [[3.478, 0.000, 0.000], [1.739, 3.012, 0.000], [1.739, 1.004, 8.330]], "species": ["Th", "Th", "Ag", "H"], "fractional_positions": [[0.731, 0.731, 0.807], [0.269, 0.269, 0.193], [0.500, 0.500, 0.500], [0.000, 0.000, 0.000]], "magnetic_moment_mub_per_cell": 0.0}



(11)
{"formula": "LaMg2Au4", "functional": "PBE-GGA", "state": "optimized geometry", "cell": [[4.906, 0.000, 2.832], [2.453, 5.058, 1.416], [-0.076, 0.000, 5.796]], "species": ["Au", "La", "Au", "Au", "Au", "Mg", "Mg"], "fractional_positions": [[0.301, 0.000, 0.397], [0.000, 0.000, 0.000], [0.699, 0.000, 0.603], [0.301, 0.397, 0.000], [0.699, 0.603, 0.000], [0.750, 0.500, 0.500], [0.250, 0.500, 0.500]], "magnetic_moment_mub_per_cell": 0.0, "formation_enthalpy_0k_ev_per_atom": -0.717}



(12)
{"formula": "LaHf3Mg", "functional": "PBE-GGA", "state": "optimized geometry", "cell": [[-4.485, 0.342, -2.576], [-1.938, -3.864, 2.861], [-1.731, 3.439, 3.471]], "species": ["Mg", "Hf", "Hf", "Hf", "La"], "fractional_positions": [[0.500, 0.500, 0.500], [0.500, 0.000, 0.000], [0.000, 0.500, 0.000], [0.000, 0.000, 0.500], [0.000, 0.000, 0.000]], "magnetic_moment_mub_per_cell": 0.0, "formation_enthalpy_0k_ev_per_atom": 1.427}



no.,E_tot (eV per atom)
1,-3.234
2,-6.103
3,-3.815
4,-6.912
5,-5.621
6,-2.303
7,-4.062
8,-6.888
9,-3.540
10,-5.327
11,-3.749
12,-5.849